(1)
4
Lattice="2.879 -4.721 0.000 2.879 4.721 0.000 0.000 0.000 2.782" Properties=species:S:1:pos:R:3 comment="KAgPt2 (PBE, optimized geometry)" spacegroup="No. 65" total_energy_ev_per_fu=-15.1 magmom_total_mub_per_fu=0.000 pbc="T T T"
K 0.000 0.000 0.000
Ag 2.879 0.000 0.000
Pt 1.439 2.360 1.391
Pt 1.439 -2.360 1.391


(2)
12
Lattice="5.081 -2.953 0.000 5.081 2.953 0.000 -1.611 0.000 5.455" Properties=species:S:1:pos:R:3 comment="CdTeAs2O8 (PBE, optimized geometry)" formation_energy_uncorrected_ev_per_atom=-1.033 spacegroup="No. 12" total_energy_ev_per_fu=-65.4 magmom_total_mub_per_fu=0.000 pbc="T T T"
Cd 0.000 0.000 0.000
Te 4.275 0.000 2.728
As 0.957 0.000 3.483
As 7.594 0.000 1.972
O 3.516 1.627 1.389
O 1.205 0.000 1.819
O 5.035 1.627 4.067
O 2.566 0.000 4.147
O 5.985 0.000 1.308
O 3.516 -1.627 1.389
O 7.346 0.000 3.636
O 5.035 -1.627 4.067


(3)
4
Lattice="0.000 3.362 4.782 3.353 0.000 4.782 3.353 3.362 0.000" Properties=species:S:1:pos:R:3 comment="NdHg2Pb (PBE, optimized geometry)" spacegroup="No. 69" total_energy_ev_per_fu=-10.6 magmom_total_mub_per_fu=0.000 pbc="T T T"
Nd 0.000 0.000 0.000
Hg 1.677 1.681 2.391
Hg 5.030 5.042 7.173
Pb 3.353 3.362 4.782


(4)
4
Lattice="-1.627 2.631 6.778 1.627 -2.631 6.778 1.627 2.631 -6.778" Properties=species:S:1:pos:R:3 comment="CoSbCl2 (PBE, optimized geometry)" formation_energy_uncorrected_ev_per_atom=-0.193 spacegroup="No. 44" total_energy_ev_per_fu=-15.7 de_polymorph_ev_per_atom=0.063 magmom_total_mub_per_fu=1.997 pbc="T T T"
Co 0.000 0.000 0.000
Sb 0.000 2.631 4.707
Cl 1.627 0.000 1.574
Cl 0.000 0.000 5.336


(5)
6
Lattice="6.023 0.000 0.000 0.000 3.674 0.000 -2.399 0.000 7.427" Properties=species:S:1:pos:R:3 comment="GaBiS (PBE, optimized geometry)" formation_energy_uncorrected_ev_per_atom=-0.156 spacegroup="No. 10" total_energy_ev_per_fu=-11.5 de_polymorph_ev_per_atom=0.000 magmom_total_mub_per_fu=0.000 pbc="T T T"
Ga -0.181 0.000 2.622
Ga 3.805 0.000 4.805
Bi 1.257 1.837 0.958
Bi 2.367 1.837 6.469
S 0.075 0.000 4.899
S 3.549 0.000 2.528


(6)
4
Lattice="1.656 0.956 10.204 -1.656 0.956 10.204 0.000 -1.912 10.204" Properties=species:S:1:pos:R:3 comment="ZnMoBr2 (PBE, optimized geometry)" formation_energy_uncorrected_ev_per_atom=0.161 spacegroup="No. 166" total_energy_ev_per_fu=-14.8 de_polymorph_ev_per_atom=0.184 magmom_total_mub_per_fu=0.001 pbc="T T T"
Zn 0.000 0.000 0.000
Mo 0.000 0.000 15.306
Br 0.000 0.000 6.913
Br 0.000 0.000 23.699


(7)
28
Lattice="17.508 0.000 0.000 0.000 4.503 0.000 0.000 0.000 6.939" Properties=species:S:1:pos:R:3 comment="NdGa4Au2 (PBE, optimized geometry)" spacegroup="No. 62" total_energy_ev_per_fu=-27.0 magmom_total_mub_per_fu=0.000 pbc="T T T"
Nd 2.478 1.126 0.096
Nd 6.275 3.377 3.565
Nd 11.232 1.126 3.374
Nd 15.029 3.377 6.843
Ga 0.669 3.377 5.910
Ga 1.125 1.126 3.238
Ga 3.183 3.377 2.246
Ga 3.261 3.377 5.036
Ga 5.493 1.126 1.567
Ga 5.570 1.126 5.716
Ga 7.628 3.377 6.707
Ga 8.084 1.126 2.440
Ga 9.423 3.377 4.499
Ga 9.879 1.126 0.232
Ga 11.937 3.377 1.223
Ga 12.014 3.377 5.372
Ga 14.247 1.126 1.903
Ga 14.324 1.126 4.693
Ga 16.382 3.377 3.701
Ga 16.838 1.126 1.029
Au 0.556 3.377 1.686
Au 3.756 1.126 3.674
Au 4.997 3.377 0.205
Au 8.198 1.126 5.155
Au 9.310 3.377 1.784
Au 12.510 1.126 6.734
Au 13.751 3.377 3.265
Au 16.951 1.126 5.253


(8)
4
Lattice="0.000 3.789 3.789 3.789 0.000 3.789 3.789 3.789 0.000" Properties=species:S:1:pos:R:3 comment="CaEuTlCu (PBE, optimized geometry)" spacegroup="No. 216" total_energy_ev_per_fu=-19.5 magmom_total_mub_per_fu=7.187 pbc="T T T"
Ca 0.000 0.000 0.000
Eu 3.789 3.789 3.789
Tl 1.895 1.895 1.895
Cu 5.684 5.684 5.684


(9)
80
Lattice="12.018 0.000 0.000 0.000 8.677 0.000 -10.254 0.000 12.138" Properties=species:S:1:pos:R:3 comment="Sb2ClF17 (PBE, optimized geometry)" formation_energy_uncorrected_ev_per_atom=-1.536 spacegroup="No. 14" total_energy_ev_per_fu=-72.6 magmom_total_mub_per_fu=0.000 pbc="T T T"
Sb -3.080 0.248 4.145
Sb -8.207 4.090 10.214
Sb -1.550 0.116 7.787
Sb 3.577 4.223 1.717
Sb -1.813 4.454 10.421
Sb 3.314 8.562 4.352
Sb 9.971 4.587 1.924
Sb 4.844 8.429 7.993
Cl 0.000 0.000 0.000
Cl -5.127 4.339 6.069
Cl 6.009 0.000 0.000
Cl 0.882 4.339 6.069
F -6.241 1.407 8.049
F -1.114 2.932 1.980
F -0.450 5.441 1.357
F -5.577 7.575 7.426
F -5.673 4.603 7.569
F -0.546 8.413 1.500
F -3.976 5.449 6.290
F 1.151 7.567 0.221
F -1.784 4.952 3.772
F -6.911 8.064 9.841
F 0.997 1.137 0.569
F -4.130 3.201 6.638
F -2.141 1.858 4.523
F -7.268 2.480 10.592
F -6.546 4.982 9.890
F -1.419 8.034 3.820
F 2.349 4.577 0.072
F -2.778 8.439 6.141
F -2.344 1.855 7.807
F 2.783 2.484 1.738
F 2.121 4.884 2.740
F -3.007 8.132 8.810
F -4.592 0.908 10.871
F 0.535 3.431 4.802
F -2.902 4.750 8.895
F 2.225 8.266 2.826
F 4.491 0.118 0.494
F -0.636 4.220 6.564
F 0.513 5.647 5.236
F -4.614 7.369 11.305
F -0.249 0.776 6.570
F 4.878 3.563 0.501
F 4.178 5.999 1.392
F -0.949 7.017 7.461
F 2.714 1.660 4.677
F -2.414 2.679 10.746
F -3.114 5.115 11.638
F 2.014 7.901 5.568
F 6.378 1.308 0.833
F 1.251 3.030 6.902
F 2.400 4.457 5.575
F -2.727 8.559 11.644
F -0.461 0.412 9.312
F 4.666 3.927 3.243
F 1.229 5.246 7.336
F 6.356 7.770 1.267
F 4.771 0.545 3.329
F -0.356 3.793 9.398
F -1.018 6.194 10.401
F 4.109 6.822 4.332
F 4.543 0.239 5.997
F -0.585 4.100 12.066
F 3.184 0.644 8.318
F 8.311 3.695 2.249
F 9.032 6.197 1.546
F 3.905 6.819 7.616
F 5.894 5.476 5.500
F 0.767 7.540 11.569
F 8.676 0.613 2.297
F 3.548 3.726 8.367
F 0.613 1.110 11.918
F 5.740 3.228 5.849
F 2.311 0.264 10.639
F 7.438 4.074 4.569
F 7.341 1.103 4.712
F 2.214 3.236 10.781
F 2.878 5.745 10.158
F 8.005 7.271 4.089


(10)
8
Lattice="-1.826 1.826 7.233 1.826 -1.826 7.233 1.826 1.826 -7.233" Properties=species:S:1:pos:R:3 comment="Cu3Si (PBE, optimized geometry)" formation_energy_uncorrected_ev_per_atom=-0.043 spacegroup="No. 139" total_energy_ev_per_fu=-17.9 magmom_total_mub_per_fu=0.000 pbc="T T T"
Cu 1.826 0.000 0.000
Cu 0.000 0.000 1.786
Cu 1.826 0.000 3.616
Cu 0.000 1.826 0.000
Cu 0.000 1.826 3.616
Cu 0.000 0.000 12.679
Si 0.000 0.000 5.400
Si 0.000 0.000 9.066


(11)
4
Lattice="2.832 0.000 0.000 0.000 4.457 0.000 -0.850 0.000 5.127" Properties=species:S:1:pos:R:3 comment="ZnW2Cl (PBE, optimized geometry)" formation_energy_uncorrected_ev_per_atom=0.601 spacegroup="No. 6" total_energy_ev_per_fu=-26.6 de_polymorph_ev_per_atom=0.295 magmom_total_mub_per_fu=0.000 pbc="T T T"
Zn 0.000 0.000 0.000
W 0.482 2.229 3.761
W 1.404 0.000 2.559
Cl 1.452 2.229 1.061


(12)
6
Lattice="3.438 0.000 0.000 0.000 5.460 0.000 -0.026 0.000 9.463" Properties=species:S:1:pos:R:3 comment="PmErMg (PBE, optimized geometry)" spacegroup="No. 4" total_energy_ev_per_fu=-10.8 de_polymorph_ev_per_atom=0.069 magmom_total_mub_per_fu=0.000 pbc="T T T"
Pm 0.007 0.000 0.733
Pm 3.404 2.730 8.730
Er 1.694 5.459 6.973
Er 1.717 2.729 2.490
Mg -0.009 2.717 5.502
Mg 3.421 5.447 3.961


Repeat the third record exactly.
4
Lattice="0.000 3.362 4.782 3.353 0.000 4.782 3.353 3.362 0.000" Properties=species:S:1:pos:R:3 comment="NdHg2Pb (PBE, optimized geometry)" spacegroup="No. 69" total_energy_ev_per_fu=-10.6 magmom_total_mub_per_fu=0.000 pbc="T T T"
Nd 0.000 0.000 0.000
Hg 1.677 1.681 2.391
Hg 5.030 5.042 7.173
Pb 3.353 3.362 4.782


Copy entry 1 word for word.
4
Lattice="2.879 -4.721 0.000 2.879 4.721 0.000 0.000 0.000 2.782" Properties=species:S:1:pos:R:3 comment="KAgPt2 (PBE, optimized geometry)" spacegroup="No. 65" total_energy_ev_per_fu=-15.1 magmom_total_mub_per_fu=0.000 pbc="T T T"
K 0.000 0.000 0.000
Ag 2.879 0.000 0.000
Pt 1.439 2.360 1.391
Pt 1.439 -2.360 1.391


Repeat the seventh record exactly.
28
Lattice="17.508 0.000 0.000 0.000 4.503 0.000 0.000 0.000 6.939" Properties=species:S:1:pos:R:3 comment="NdGa4Au2 (PBE, optimized geometry)" spacegroup="No. 62" total_energy_ev_per_fu=-27.0 magmom_total_mub_per_fu=0.000 pbc="T T T"
Nd 2.478 1.126 0.096
Nd 6.275 3.377 3.565
Nd 11.232 1.126 3.374
Nd 15.029 3.377 6.843
Ga 0.669 3.377 5.910
Ga 1.125 1.126 3.238
Ga 3.183 3.377 2.246
Ga 3.261 3.377 5.036
Ga 5.493 1.126 1.567
Ga 5.570 1.126 5.716
Ga 7.628 3.377 6.707
Ga 8.084 1.126 2.440
Ga 9.423 3.377 4.499
Ga 9.879 1.126 0.232
Ga 11.937 3.377 1.223
Ga 12.014 3.377 5.372
Ga 14.247 1.126 1.903
Ga 14.324 1.126 4.693
Ga 16.382 3.377 3.701
Ga 16.838 1.126 1.029
Au 0.556 3.377 1.686
Au 3.756 1.126 3.674
Au 4.997 3.377 0.205
Au 8.198 1.126 5.155
Au 9.310 3.377 1.784
Au 12.510 1.126 6.734
Au 13.751 3.377 3.265
Au 16.951 1.126 5.253